UCo3Ge2 PBE relaxed; crystal system = monoclinic; E_tot = -7.282 eV per atom; symmetry = C2/m; ΔE to the lowest computed polymorph = 0.0 meV per atom; ΔH_f (0 K) = -0.31 eV/atom
1.0
-0.519 3.698 0.552
-3.749 -3.391 6.294
8.817 0.868 2.466
U Co Ge
3 9 6
Direct
0.168 0.335 0.706 U
0.832 0.665 0.294 U
0.000 0.000 0.000 U
0.047 0.095 0.334 Co
0.953 0.905 0.666 Co
0.218 0.437 0.389 Co
0.782 0.563 0.611 Co
0.609 0.219 0.180 Co
0.391 0.781 0.820 Co
0.500 0.000 0.500 Co
0.322 0.644 0.045 Co
0.678 0.356 0.955 Co
0.192 0.384 0.121 Ge
0.808 0.616 0.879 Ge
0.461 0.922 0.229 Ge
0.539 0.078 0.771 Ge
0.362 0.723 0.552 Ge
0.638 0.277 0.448 Ge

UCo2Ge2 PBE relaxed; crystal system = orthorhombic; E_tot = -7.130 eV per atom; symmetry = Fddd; ΔE to the lowest computed polymorph = 169.3 meV per atom; ΔH_f (0 K) = -0.18 eV/atom
1.0
-0.323 -1.306 -5.324
-4.335 -2.307 -2.003
-2.660 5.147 -3.928
U Co Ge
2 4 4
Direct
0.875 0.750 0.250 U
0.125 0.250 0.750 U
0.614 0.272 0.250 Co
0.864 0.772 0.750 Co
0.136 0.228 0.250 Co
0.386 0.728 0.750 Co
0.479 0.750 0.042 Ge
0.729 0.250 0.542 Ge
0.521 0.250 0.958 Ge
0.271 0.750 0.458 Ge

U2Co5Ge3 PBE relaxed; crystal system = orthorhombic; E_tot = -7.452 eV per atom; symmetry = Ibam; ΔE to the lowest computed polymorph = 0.0 meV per atom; ΔH_f (0 K) = -0.26 eV/atom
1.0
5.463 0.000 0.000
2.732 7.361 -0.714
2.732 0.430 7.383
U Co Ge
4 10 6
Direct
0.124 0.614 0.138 U
0.624 0.138 0.614 U
0.876 0.386 0.862 U
0.376 0.862 0.386 U
0.386 0.281 0.947 Co
0.886 0.947 0.281 Co
0.614 0.719 0.053 Co
0.114 0.053 0.719 Co
0.479 0.771 0.771 Co
0.521 0.229 0.229 Co
0.750 0.500 0.500 Co
0.250 0.500 0.500 Co
0.021 0.229 0.229 Co
0.979 0.771 0.771 Co
0.366 0.518 0.750 Ge
0.866 0.750 0.518 Ge
0.634 0.482 0.250 Ge
0.134 0.250 0.482 Ge
0.250 0.000 0.000 Ge
0.750 0.000 0.000 Ge

U2Co5Ge3 PBE relaxed; crystal system = orthorhombic; E_tot = -7.437 eV per atom; symmetry = Cmc2_1; ΔE to the lowest computed polymorph = 14.9 meV per atom; ΔH_f (0 K) = -0.24 eV/atom
1.0
0.818 2.245 11.806
-4.612 -1.520 -11.023
-0.904 -6.040 1.211
U Co Ge
4 10 6
Direct
0.509 0.491 0.250 U
0.818 0.182 0.261 U
0.182 0.818 0.761 U
0.491 0.509 0.750 U
0.619 0.381 0.544 Co
0.725 0.275 0.506 Co
0.275 0.725 0.006 Co
0.881 0.119 0.718 Co
0.702 0.298 0.081 Co
0.039 0.961 0.963 Co
0.298 0.702 0.581 Co
0.119 0.881 0.218 Co
0.961 0.039 0.463 Co
0.381 0.619 0.044 Co
0.215 0.785 0.303 Ge
0.393 0.607 0.470 Ge
0.934 0.066 0.039 Ge
0.785 0.215 0.803 Ge
0.066 0.934 0.539 Ge
0.607 0.393 0.970 Ge

UCo6Ge6 PBE relaxed; crystal system = orthorhombic; E_tot = -6.513 eV per atom; symmetry = Immm; ΔH_f (0 K) = -0.23 eV/atom
1.0
-4.254 1.024 2.615
-4.435 -4.658 -0.423
-0.079 -2.648 5.877
U Co Ge
1 6 6
Direct
0.000 0.000 0.000 U
0.000 0.500 0.000 Co
0.500 0.500 0.000 Co
0.000 0.000 0.500 Co
0.500 0.000 0.500 Co
0.500 0.747 0.253 Co
0.500 0.253 0.747 Co
0.337 0.663 0.663 Ge
0.663 0.337 0.337 Ge
0.000 0.346 0.654 Ge
0.000 0.654 0.346 Ge
0.331 0.169 0.169 Ge
0.669 0.831 0.831 Ge

U2Co3Ge PBE relaxed; crystal system = hexagonal; E_tot = -8.453 eV per atom; symmetry = P6_3/mmc; ΔH_f (0 K) = -0.37 eV/atom
1.0
5.173 0.000 0.000
-2.587 4.480 0.000
0.000 0.000 7.599
Co Ge U
6 2 4
Direct
0.171 0.341 0.250 Co
0.341 0.171 0.750 Co
0.829 0.659 0.750 Co
0.171 0.829 0.250 Co
0.829 0.171 0.750 Co
0.659 0.829 0.250 Co
0.000 0.000 0.500 Ge
0.000 0.000 0.000 Ge
0.667 0.333 0.429 U
0.333 0.667 0.571 U
0.333 0.667 0.929 U
0.667 0.333 0.071 U

U3Co5Ge2 PBE relaxed; crystal system = orthorhombic; E_tot = -7.905 eV per atom; symmetry = Ibam; ΔH_f (0 K) = -0.04 eV/atom
1.0
-3.704 -3.829 0.016
3.345 -6.929 3.284
-3.742 -0.055 7.481
U Co Ge
6 10 4
Direct
0.250 0.000 0.000 U
0.750 0.000 0.000 U
0.377 0.448 0.799 U
0.623 0.552 0.201 U
0.877 0.799 0.448 U
0.123 0.201 0.552 U
0.250 0.500 0.500 Co
0.750 0.500 0.500 Co
0.444 0.806 0.806 Co
0.056 0.194 0.194 Co
0.556 0.194 0.194 Co
0.944 0.806 0.806 Co
0.154 0.442 0.251 Co
0.846 0.558 0.749 Co
0.654 0.251 0.442 Co
0.346 0.749 0.558 Co
0.124 0.683 0.068 Ge
0.876 0.317 0.932 Ge
0.624 0.068 0.683 Ge
0.376 0.932 0.317 Ge

UCo2Ge2 PBE relaxed; crystal system = tetragonal; E_tot = -7.267 eV per atom; symmetry = I4/mmm; ΔE to the lowest computed polymorph = 32.1 meV per atom; ΔH_f (0 K) = -0.32 eV/atom
1.0
5.633 0.041 0.000
2.708 4.940 0.000
-4.170 -2.490 2.853
U Co Ge
1 2 2
Direct
0.000 0.000 0.000 U
0.750 0.250 0.500 Co
0.250 0.750 0.500 Co
0.629 0.629 0.000 Ge
0.371 0.371 0.000 Ge

UCo3Ge2 PBE relaxed; crystal system = orthorhombic; E_tot = -7.182 eV per atom; symmetry = Pmmn; ΔE to the lowest computed polymorph = 99.6 meV per atom; ΔH_f (0 K) = -0.21 eV/atom
1.0
4.017 0.000 0.000
0.000 4.690 0.000
0.000 0.000 9.161
U Co Ge
2 6 4
Direct
0.811 0.500 0.500 U
0.189 0.000 0.000 U
0.338 0.500 0.704 Co
0.674 0.000 0.500 Co
0.338 0.500 0.296 Co
0.662 0.000 0.204 Co
0.326 0.500 0.000 Co
0.662 0.000 0.796 Co
0.173 0.000 0.655 Ge
0.173 0.000 0.345 Ge
0.827 0.500 0.155 Ge
0.827 0.500 0.845 Ge

UCoGe PBE relaxed; crystal system = orthorhombic; E_tot = -8.025 eV per atom; symmetry = Pnma; ΔH_f (0 K) = -0.35 eV/atom
1.0
3.989 0.000 0.000
0.000 6.476 0.000
0.000 0.000 7.557
U Co Ge
4 4 4
Direct
0.250 0.355 0.489 U
0.750 0.645 0.511 U
0.250 0.145 0.989 U
0.750 0.855 0.011 U
0.250 0.549 0.117 Co
0.750 0.451 0.883 Co
0.250 0.951 0.617 Co
0.750 0.049 0.383 Co
0.250 0.629 0.800 Ge
0.750 0.371 0.200 Ge
0.250 0.871 0.300 Ge
0.750 0.129 0.700 Ge

U2Co4Ge3 PBE relaxed; crystal system = monoclinic; E_tot = -7.441 eV per atom; symmetry = C2/m; ΔH_f (0 K) = -0.24 eV/atom
1.0
-3.358 -0.858 -0.905
1.239 -1.374 3.796
-3.337 8.844 4.000
U Co Ge
2 4 3
Direct
0.319 0.638 0.220 U
0.681 0.362 0.780 U
0.691 0.381 0.078 Co
0.075 0.149 0.622 Co
0.925 0.851 0.378 Co
0.309 0.619 0.922 Co
0.370 0.740 0.577 Ge
0.000 0.000 0.000 Ge
0.630 0.260 0.423 Ge

U3Co2Ge4 PBE relaxed; crystal system = monoclinic; E_tot = -7.670 eV per atom; symmetry = C2/m; ΔH_f (0 K) = -0.28 eV/atom
1.0
4.175 0.000 0.000
-2.087 5.119 -1.195
0.000 0.129 7.899
U Co Ge
3 2 4
Direct
0.655 0.310 0.663 U
0.000 0.000 0.000 U
0.345 0.690 0.337 U
0.573 0.146 0.258 Co
0.427 0.854 0.742 Co
0.725 0.450 0.079 Ge
0.275 0.550 0.921 Ge
0.925 0.849 0.608 Ge
0.075 0.151 0.392 Ge

no.,density of states at the Fermi level (states/eV/cell)
1,18.2
2,12.2
3,24.3
4,22.1
5,10.8
6,20.1
7,27.9
8,9.3
9,7.9
10,15.6
11,7.0
12,16.9